# PBE CdWAu, optimized geometry
data_CdWAu
_chemical_formula_sum 'Cd4 W4 Au4'
_cell_length_a 6.284
_cell_length_b 6.284
_cell_length_c 6.284
_cell_angle_alpha 90.00
_cell_angle_beta 90.00
_cell_angle_gamma 90.00
_symmetry_space_group_name_H-M 'F -4 3 m'
_symmetry_Int_Tables_number 216
_symmetry_space_group_name_Hall 'F -4 2 3'
loop_
_atom_site_label
_atom_site_fract_x
_atom_site_fract_y
_atom_site_fract_z
Cd1 0.000 0.000 0.000
W1 0.000 0.000 0.500
Au1 0.250 0.250 0.250
# * formation energy: 0.99 eV per atom
# * mass density: 13.2 g/cm3



# PBE Nd3ErSi4, optimized geometry
data_Nd3ErSi4
_chemical_formula_sum 'Nd3 Er1 Si4'
_cell_length_a 5.859
_cell_length_b 3.911
_cell_length_c 8.152
_cell_angle_alpha 90.00
_cell_angle_beta 90.37
_cell_angle_gamma 90.00
_symmetry_space_group_name_H-M 'P 1 m 1'
_symmetry_Int_Tables_number 6
loop_
_symmetry_equiv_pos_as_xyz
'x,y,z'
'x,-y,z'
loop_
_atom_site_label
_atom_site_fract_x
_atom_site_fract_y
_atom_site_fract_z
Nd1 0.000 0.000 0.000
Nd2 0.228 0.500 0.360
Nd3 0.501 0.500 0.857
Er1 0.729 0.000 0.499
Si1 0.236 0.000 0.641
Si2 0.493 0.000 0.147
Si3 0.738 0.500 0.223
Si4 0.985 0.500 0.710
# * final energy: -5.8380 eV/atom
# * mass density: 6.3 g/cm3



# PBE BeCu2Au, optimized geometry
data_BeCu2Au
_chemical_formula_sum 'Be4 Cu8 Au4'
_cell_length_a 5.855
_cell_length_b 5.855
_cell_length_c 5.855
_cell_angle_alpha 90.00
_cell_angle_beta 90.00
_cell_angle_gamma 90.00
_symmetry_space_group_name_H-M 'F -4 3 m'
_symmetry_Int_Tables_number 216
_symmetry_space_group_name_Hall 'F -4 2 3'
loop_
_atom_site_label
_atom_site_fract_x
_atom_site_fract_y
_atom_site_fract_z
Be1 0.000 0.000 0.000
Cu1 0.000 0.000 0.500
Cu2 0.250 0.250 0.750
Au1 0.250 0.250 0.250
# * final energy: -3.6321 eV/atom
# * mass density: 11.0 g/cm3



# PBE BaFeNiTe3, optimized geometry
data_BaFeNiTe3
_chemical_formula_sum 'Ba4 Fe4 Ni4 Te12'
_cell_length_a 4.091
_cell_length_b 14.787
_cell_length_c 10.450
_cell_angle_alpha 90.00
_cell_angle_beta 90.00
_cell_angle_gamma 90.00
_symmetry_space_group_name_H-M 'C m c m'
_symmetry_Int_Tables_number 63
_symmetry_space_group_name_Hall '-C 2c 2'
loop_
_atom_site_label
_atom_site_fract_x
_atom_site_fract_y
_atom_site_fract_z
Ba1 0.000 0.239 0.250
Fe1 0.000 0.000 0.000
Ni1 0.000 0.460 0.750
Te1 0.000 0.060 0.750
Te2 0.000 0.379 0.537
# * final energy: -4.6715 eV/atom
# * mass density: 6.7 g/cm3



# PBE Zn2SnOs, optimized geometry
data_Zn2SnOs
_chemical_formula_sum 'Zn8 Sn4 Os4'
_cell_length_a 6.394
_cell_length_b 6.394
_cell_length_c 6.394
_cell_angle_alpha 90.00
_cell_angle_beta 90.00
_cell_angle_gamma 90.00
_symmetry_space_group_name_H-M 'F -4 3 m'
_symmetry_Int_Tables_number 216
_symmetry_space_group_name_Hall 'F -4 2 3'
loop_
_atom_site_label
_atom_site_fract_x
_atom_site_fract_y
_atom_site_fract_z
Zn1 0.000 0.000 0.000
Zn2 0.250 0.250 0.250
Sn1 0.000 0.000 0.500
Os1 0.250 0.250 0.750
# * final energy: -4.0335 eV/atom
# * mass density: 11.2 g/cm3



# PBE Ta2BiSbOs2, optimized geometry
data_Ta2BiSbOs2
_chemical_formula_sum 'Ta8 Bi4 Sb4 Os8'
_cell_length_a 10.882
_cell_length_b 4.438
_cell_length_c 10.896
_cell_angle_alpha 90.00
_cell_angle_beta 109.50
_cell_angle_gamma 90.00
_symmetry_space_group_name_H-M 'P 1 m 1'
_symmetry_Int_Tables_number 6
loop_
_symmetry_equiv_pos_as_xyz
'x,y,z'
'x,-y,z'
loop_
_atom_site_label
_atom_site_fract_x
_atom_site_fract_y
_atom_site_fract_z
Ta1 0.000 0.000 0.000
Ta2 0.123 0.500 0.369
Ta3 0.250 0.000 0.746
Ta4 0.374 0.500 0.121
Ta5 0.498 0.000 0.494
Ta6 0.625 0.500 0.875
Ta7 0.752 0.000 0.245
Ta8 0.877 0.500 0.618
Bi1 0.125 0.500 0.872
Bi2 0.374 0.500 0.621
Bi3 0.625 0.500 0.370
Bi4 0.751 0.000 0.748
Sb1 0.000 0.000 0.494
Sb2 0.249 0.000 0.245
Sb3 0.500 0.000 0.997
Sb4 0.875 0.500 0.121
Os1 0.002 0.000 0.741
Os2 0.123 0.500 0.124
Os3 0.246 0.000 0.492
Os4 0.379 0.500 0.875
Os5 0.495 0.000 0.242
Os6 0.624 0.500 0.620
Os7 0.751 0.000 0.002
Os8 0.878 0.500 0.369
# * final energy: -9.0992 eV/atom
# * mass density: 14.4 g/cm3



Please write out number 4 again, unchanged.
# PBE BaFeNiTe3, optimized geometry
data_BaFeNiTe3
_chemical_formula_sum 'Ba4 Fe4 Ni4 Te12'
_cell_length_a 4.091
_cell_length_b 14.787
_cell_length_c 10.450
_cell_angle_alpha 90.00
_cell_angle_beta 90.00
_cell_angle_gamma 90.00
_symmetry_space_group_name_H-M 'C m c m'
_symmetry_Int_Tables_number 63
_symmetry_space_group_name_Hall '-C 2c 2'
loop_
_atom_site_label
_atom_site_fract_x
_atom_site_fract_y
_atom_site_fract_z
Ba1 0.000 0.239 0.250
Fe1 0.000 0.000 0.000
Ni1 0.000 0.460 0.750
Te1 0.000 0.060 0.750
Te2 0.000 0.379 0.537
# * final energy: -4.6715 eV/atom
# * mass density: 6.7 g/cm3



> What is the mass density in the second record?

6.3 g/cm3